Entry 1:
GGA-PBE Sm2Al3Cu12Pd, relaxed; crystal system = trigonal; formation energy from the elements = 1.1 eV per formula unit; electronic total energy = -4.105 eV/atom; density = 6.96 Mg/m³
1.0
2.987 1.725 9.649
-2.987 1.725 9.649
0.000 -3.449 9.649
Sm Al Cu Pd
2 3 12 1
Direct
0.146 0.146 0.146
0.854 0.854 0.854
0.000 0.500 0.500
0.500 0.000 0.500
0.500 0.500 0.000
0.083 0.083 0.684
0.083 0.684 0.083
0.132 0.580 0.580
0.316 0.917 0.917
0.420 0.420 0.868
0.420 0.868 0.420
0.580 0.132 0.580
0.580 0.580 0.132
0.684 0.083 0.083
0.868 0.420 0.420
0.917 0.316 0.917
0.917 0.917 0.316
0.500 0.500 0.500



Entry 2:
GGA-PBE Sm2AlCu2Pd5, relaxed; crystal system = tetragonal; formation energy from the elements = -6.6 eV per formula unit; electronic total energy = -5.398 eV/atom; density = 9.38 Mg/m³
1.0
9.582 0.000 0.000
0.000 9.582 0.000
0.000 0.000 3.806
Sm Al Cu Pd
4 2 4 10
Direct
0.174 0.326 0.000
0.326 0.826 0.000
0.674 0.174 0.000
0.826 0.674 0.000
0.000 0.000 0.000
0.500 0.500 0.000
0.124 0.624 0.000
0.376 0.124 0.000
0.624 0.876 0.000
0.876 0.376 0.000
0.000 0.500 0.500
0.065 0.799 0.500
0.201 0.065 0.500
0.299 0.565 0.500
0.435 0.299 0.500
0.500 0.000 0.500
0.565 0.701 0.500
0.701 0.435 0.500
0.799 0.935 0.500
0.935 0.201 0.500



Entry 3:
GGA-PBE SmAl3CuPd, relaxed; crystal system = orthorhombic; formation energy from the elements = -2.4 eV per formula unit; electronic total energy = -4.600 eV/atom; density = 5.94 Mg/m³
1.0
3.038 -6.415 0.000
3.038 6.415 0.000
0.000 0.000 5.759
Sm Al Cu Pd
2 6 2 2
Direct
0.204 0.796 0.750
0.796 0.204 0.250
0.212 0.212 0.000
0.212 0.212 0.500
0.361 0.639 0.250
0.639 0.361 0.750
0.788 0.788 0.000
0.788 0.788 0.500
0.144 0.856 0.250
0.856 0.144 0.750
0.415 0.585 0.750
0.585 0.415 0.250